VASP calculation (PBE) on a geometry-optimized Th6S5 structure.

Lattice parameters (Å, degrees): 6.955 6.950 6.976 80.41 70.54 59.98
Element x y z (fractional)
1 Th 0.753 0.000 0.750
2 Th 0.247 0.000 0.250
3 Th 0.412 0.670 0.754
4 Th 0.918 0.670 0.246
5 Th 0.588 0.330 0.246
6 Th 0.082 0.330 0.754
7 S 0.500 0.000 0.500
8 S 0.334 0.332 0.000
9 S 0.666 0.668 0.000
10 S 0.170 0.661 0.500
11 S 0.830 0.339 0.500

VASP energy in eV per atom: -7.533
ΔE_f (raw) in eV per formula unit: -17.70
Symmetry: C2/m (12)
Calculated volume in Å³ per cell: 275